# BaMnAu (GGA-PBE, optimized geometry)
data_BaMnAu
_cell_length_a 4.631
_cell_length_b 4.631
_cell_length_c 4.745
_cell_angle_alpha 90.00
_cell_angle_beta 90.00
_cell_angle_gamma 120.00
_symmetry_space_group_name_H-M 'P 1'
_symmetry_Int_Tables_number 1
loop_
_symmetry_equiv_pos_as_xyz
'x,y,z'
loop_
_atom_site_label
_atom_site_type_symbol
_atom_site_fract_x
_atom_site_fract_y
_atom_site_fract_z
Ba1 Ba 0.000 0.000 0.000
Mn1 Mn 0.667 0.333 0.501
Au1 Au 0.333 0.667 0.500
# Magnetization   3.85 μB/f.u.
# DFT total energy   -4.886 eV per atom
# N(E_F)   0.970 states/eV per atom
# Formation enthalpy at 0 K   -0.10 eV/atom
# Space group   P3m1 (156)
# Volume   29.4 Å³ per atom
# Crystal system   trigonal